## LiBiMoF6 (PBE with a Hubbard U)

Data for a geometry-optimized LiBiMoF6 structure.

Summary:
electronic total energy: -5.0249 eV per atom
space-group type: No. 163
magnetic moment: 0.331 μB per atom

a b c (Å): 6.0292 6.0292 8.1280
angles (deg): 90.00 90.00 120.00
Closest atoms and distances in Å follow each position.
Element x y z (fractional)
Li1 0.6667 0.3333 0.2500  6 F 2.23
Li2 0.3333 0.6667 0.7500  6 F 2.23
F1 0.0130 0.3733 0.1245  1 Mo 2.12, 1 Li 2.23
F2 0.3603 0.9870 0.1245  1 Mo 2.12, 1 Li 2.23
F3 0.0130 0.6397 0.3755  1 Mo 2.12, 1 Li 2.23
F4 0.6397 0.6267 0.6245  1 Mo 2.12, 1 Li 2.23
F5 0.6397 0.0130 0.8755  1 Mo 2.12, 1 Li 2.23
F6 0.6267 0.6397 0.1245  1 Mo 2.12, 1 Li 2.23
F7 0.3603 0.3733 0.3755  1 Mo 2.12, 1 Li 2.23
F8 0.9870 0.6267 0.8755  1 Mo 2.12, 1 Li 2.23
F9 0.9870 0.3603 0.6245  1 Mo 2.12, 1 Li 2.23
F10 0.3733 0.3603 0.8755  1 Mo 2.12, 1 Li 2.23
F11 0.6267 0.9870 0.3755  1 Mo 2.12, 1 Li 2.23
F12 0.3733 0.0130 0.6245  1 Mo 2.12, 1 Li 2.23
Mo1 0.3333 0.6667 0.2500  6 F 2.12
Mo2 0.6667 0.3333 0.7500  6 F 2.12
Bi1 0.0000 0.0000 0.5000  6 F 2.43
Bi2 0.0000 0.0000 0.0000  6 F 2.43